# CsKGe2Cl6

An optimized crystal structure of CsKGe2Cl6 (GGA-PBE, Alexandria).

a b c (Å): 10.3054 9.6703 9.6703
angles (deg): 110.00 72.69 72.69
Positions (direct):
Cl  0.1346  0.6005  0.0888
Cl  0.3654  0.9112  0.3995
Cl  0.3555  0.2152  0.0255
Cl  0.9696  0.4191  0.2952
Cl  0.8555  0.0255  0.2152
Cl  0.6445  0.7848  0.9745
Cl  0.8654  0.3995  0.9112
Cl  0.5304  0.7048  0.5809
Cl  0.0304  0.5809  0.7048
Cl  0.4696  0.2952  0.4191
Cl  0.6346  0.0888  0.6005
Cl  0.1445  0.9745  0.7848
Cs  0.7500  0.0818  0.9182
Cs  0.2500  0.9182  0.0818
Ge  0.3213  0.7452  0.5254
Ge  0.8213  0.5254  0.7452
Ge  0.6787  0.2548  0.4746
Ge  0.1787  0.4746  0.2548
K  0.2500  0.2595  0.7405
K  0.7500  0.7405  0.2595

**Symmetry**: C2/c, No. 15
**Electronic total energy**: -70.92 eV/cell
**Crystal system**: monoclinic